VASP calculation (GGA-PBE) on Rb2TiNO after structural relaxation.

Summary:
- Formation energy from raw total energies: 298 meV per atom
- Total magnetic moment: 4.0 μB per cell

extended XYZ file:
```
5
Lattice="6.598 0.000 0.000 0.000 6.598 0.000 0.000 0.000 3.791" Properties=species:S:1:pos:R:3 pbc="T T T"
Rb 0.000 3.299 0.000
Rb 3.299 0.000 0.000
Ti 0.000 0.000 0.000
N 3.299 3.299 1.895
O 0.000 0.000 1.895
```